(1)
Compound: K2InCoBr
Source: Alexandria
Functional: PBE-GGA
Structure: optimized geometry

Uncorrected formation energy   1.11 eV/f.u.
Size of the total moment   1.20 μB per formula unit
Calculated total energy   -2.521 eV per atom

a = 6.5569 Å, b = 6.5569 Å, c = 4.4026 Å
α = 90.00°, β = 90.00°, γ = 90.00°
Last column: nearest neighbours and their distance in Å.
Space group P4/mmm (No. 123)
Symmetry-distinct sites (fractional):
K  0.0000  0.5000  0.0000 (multiplicity 2)  2 Co 3.28
In  0.0000  0.0000  0.5000 (multiplicity 1)  8 K 3.95, 2 In 4.40
Co  0.5000  0.5000  0.0000 (multiplicity 1)  2 Br 2.20
Br  0.5000  0.5000  0.5000 (multiplicity 1)  2 Co 2.20

(2)
Compound: LaIn2CoBr
Source: Alexandria
Functional: PBE-GGA
Structure: optimized geometry

Uncorrected formation energy   -2.96 eV/f.u.
Size of the total moment   0.00 μB per formula unit
Calculated total energy   -4.429 eV per atom

a = 4.9942 Å, b = 4.9942 Å, c = 5.2143 Å
α = 90.00°, β = 90.00°, γ = 90.00°
Last column: nearest neighbours and their distance in Å.
Space group P4/mmm (No. 123)
Symmetry-distinct sites (fractional):
La  0.0000  0.0000  0.0000 (multiplicity 1)  2 Co 2.61
In  0.0000  0.5000  0.5000 (multiplicity 2)  2 Co 2.50
Co  0.0000  0.0000  0.5000 (multiplicity 1)  4 In 2.50, 2 La 2.61
Br  0.5000  0.5000  0.0000 (multiplicity 1)  4 La 3.53, 8 In 3.61

(3)
Compound: NaIn2CoBr
Source: Alexandria
Functional: PBE-GGA
Structure: optimized geometry

Uncorrected formation energy   -0.23 eV/f.u.
Size of the total moment   0.00 μB per formula unit
Calculated total energy   -3.160 eV per atom

a = 4.9076 Å, b = 4.9076 Å, c = 5.6511 Å
α = 90.00°, β = 90.00°, γ = 90.00°
Last column: nearest neighbours and their distance in Å.
Space group P4/mmm (No. 123)
Symmetry-distinct sites (fractional):
Na  0.0000  0.0000  0.0000 (multiplicity 1)  4 Br 3.47, 8 In 3.74
In  0.0000  0.5000  0.5000 (multiplicity 2)  2 Co 2.45
Co  0.5000  0.5000  0.5000 (multiplicity 1)  4 In 2.45
Br  0.5000  0.5000  0.0000 (multiplicity 1)  2 Co 2.83

What is the size of the total moment in the first record?
1.20 μB per formula unit